[1]
# CoP | the Alexandria database | PBE | optimized geometry
# * total magnetization: 0.0 μB/f.u.
# * uncorrected energy: -210.3 eV per cell
# * calculated formation energy: -313.7 meV/atom
# * crystal system: orthorhombic
# * ρ: 4.33 g/cm3
data_CoP
_cell_length_a 6.045
_cell_length_b 8.270
_cell_length_c 11.039
_cell_angle_alpha 90.00
_cell_angle_beta 90.00
_cell_angle_gamma 90.00
_space_group_name_H-M_alt 'F d d d'
_space_group_IT_number 70
loop_
_space_group_symop_operation_xyz
'x,y,z'
'-x,-y,-z'
'-x+1/4,-y+1/4,z'
'x+1/4,y+1/4,-z'
'x,-y+1/4,-z+1/4'
'-x,y+1/4,z+1/4'
'-x+1/4,y,-z+1/4'
'x+1/4,-y,z+1/4'
'x,y+1/2,z+1/2'
'-x,-y+1/2,-z+1/2'
'-x+1/4,-y+3/4,z+1/2'
'x+1/4,y+3/4,-z+1/2'
'x,-y+3/4,-z+3/4'
'-x,y+3/4,z+3/4'
'-x+1/4,y+1/2,-z+3/4'
'x+1/4,-y+1/2,z+3/4'
'x+1/2,y,z+1/2'
'-x+1/2,-y,-z+1/2'
'-x+3/4,-y+1/4,z+1/2'
'x+3/4,y+1/4,-z+1/2'
'x+1/2,-y+1/4,-z+3/4'
'-x+1/2,y+1/4,z+3/4'
'-x+3/4,y,-z+3/4'
'x+3/4,-y,z+3/4'
'x+1/2,y+1/2,z'
'-x+1/2,-y+1/2,-z'
'-x+3/4,-y+3/4,z'
'x+3/4,y+3/4,-z'
'x+1/2,-y+3/4,-z+1/4'
'-x+1/2,y+3/4,z+1/4'
'-x+3/4,y+1/2,-z+1/4'
'x+3/4,-y+1/2,z+1/4'
loop_
_atom_site_label
_atom_site_fract_x
_atom_site_fract_y
_atom_site_fract_z
_atom_site_occupancy
Co1 0.125 0.125 0.005 1
P1 0.125 0.334 0.125 1

[2]
# CoP3 | the Alexandria database | PBE | optimized geometry
# * total magnetization: 0.6 μB/f.u.
# * uncorrected energy: -67.0 eV per cell
# * calculated formation energy: 253.7 meV/atom
# * crystal system: trigonal
# * ρ: 4.76 g/cm3
# * energy above the lowest structure with this stoichiometry: 289 kJ/mol of formula units
data_CoP3
_cell_length_a 2.8003
_cell_length_b 2.8003
_cell_length_c 23.4002
_cell_angle_alpha 90.00
_cell_angle_beta 90.00
_cell_angle_gamma 120.00
_space_group_name_H-M_alt 'R -3 m'
_space_group_IT_number 166
_space_group_name_Hall '-R 3 2"'
loop_
_atom_site_label
_atom_site_fract_x
_atom_site_fract_y
_atom_site_fract_z
_atom_site_occupancy
Co1 0.0000 0.0000 0.0000 1
P1 0.0000 0.0000 0.2628 1
P2 0.0000 0.0000 0.5000 1

[3]
# CoP3 | the Alexandria database | PBE | optimized geometry
# * total magnetization: 0.0 μB/f.u.
# * uncorrected energy: -46.5 eV per cell
# * calculated formation energy: 26.6 meV/atom
# * crystal system: monoclinic
# * ρ: 4.80 g/cm3
# * energy above the lowest structure with this stoichiometry: 201 kJ/mol of formula units
data_CoP3
_cell_length_a 5.591
_cell_length_b 3.237
_cell_length_c 6.102
_cell_angle_alpha 90.00
_cell_angle_beta 107.87
_cell_angle_gamma 90.00
_space_group_name_H-M_alt 'C 1 2/m 1'
_space_group_IT_number 12
loop_
_space_group_symop_operation_xyz
'x,y,z'
'-x,-y,-z'
'-x,y,-z'
'x,-y,z'
'x+1/2,y+1/2,z'
'-x+1/2,-y+1/2,-z'
'-x+1/2,y+1/2,-z'
'x+1/2,-y+1/2,z'
loop_
_atom_site_label
_atom_site_fract_x
_atom_site_fract_y
_atom_site_fract_z
_atom_site_occupancy
Co1 0.000 0.000 0.000 1
P1 0.000 0.500 0.500 1
P2 0.247 0.500 0.241 1

[4]
# CoP3 | the Alexandria database | PBE | optimized geometry
# * total magnetization: 0.0 μB/f.u.
# * uncorrected energy: -21.4 eV per cell
# * calculated formation energy: 476.9 meV/atom
# * crystal system: tetragonal
# * ρ: 5.00 g/cm3
# * energy above the lowest structure with this stoichiometry: 375 kJ/mol of formula units
data_CoP3
_cell_length_a 4.473
_cell_length_b 4.473
_cell_length_c 2.522
_cell_angle_alpha 90.00
_cell_angle_beta 90.00
_cell_angle_gamma 90.00
_space_group_name_H-M_alt 'P 4/m m m'
_space_group_IT_number 123
_space_group_name_Hall '-P 4 2'
loop_
_atom_site_label
_atom_site_fract_x
_atom_site_fract_y
_atom_site_fract_z
_atom_site_occupancy
Co1 0.000 0.000 0.000 1
P1 0.000 0.500 0.500 1
P2 0.500 0.500 0.000 1

[5]
# CoP | the Alexandria database | PBE | optimized geometry
# * total magnetization: 0.2 μB/f.u.
# * uncorrected energy: -26.1 eV per cell
# * calculated formation energy: -279.4 meV/atom
# * crystal system: tetragonal
# * ρ: 5.91 g/cm3
data_CoP
_cell_length_a 2.702
_cell_length_b 2.702
_cell_length_c 6.920
_cell_angle_alpha 90.00
_cell_angle_beta 90.00
_cell_angle_gamma 90.00
_space_group_name_H-M_alt 'I 4 m m'
_space_group_IT_number 107
_space_group_name_Hall 'I 4 -2'
loop_
_atom_site_label
_atom_site_fract_x
_atom_site_fract_y
_atom_site_fract_z
_atom_site_occupancy
Co1 0.000 0.000 0.000 1
P1 0.000 0.000 0.326 1

[6]
# CoP3 | the Alexandria database | PBE | optimized geometry
# * total magnetization: 0.9 μB/f.u.
# * uncorrected energy: -42.4 eV per cell
# * calculated formation energy: 538.5 meV/atom
# * crystal system: cubic
# * ρ: 4.75 g/cm3
# * energy above the lowest structure with this stoichiometry: 399 kJ/mol of formula units
data_CoP3
_cell_length_a 4.736
_cell_length_b 4.736
_cell_length_c 4.736
_cell_angle_alpha 90.00
_cell_angle_beta 90.00
_cell_angle_gamma 90.00
_space_group_name_H-M_alt 'P m -3 n'
_space_group_IT_number 223
_space_group_name_Hall '-P 4n 2 3'
loop_
_atom_site_label
_atom_site_fract_x
_atom_site_fract_y
_atom_site_fract_z
_atom_site_occupancy
Co1 0.000 0.000 0.000 1
P1 0.000 0.250 0.500 1